Computed, not measured: a geometry-optimized VIr2Pd structure at the PBE-GGA level of DFT.

a b c (Å): 3.890 3.890 3.772
angles (deg): 90.00 90.00 90.00
Space group P4/mmm (No. 123)
Symmetry-distinct sites (fractional):
V: 0.000 0.000 0.000
Ir: 0.000 0.500 0.500
Pd: 0.500 0.500 0.000

Results
total moment: 0.088 μB/cell
E_form: -27.6 kJ/mol of atoms
N(E_F): 3.654 states/eV per cell